Entry 1:
## MgGa2SeCl (PBE)

Data for a relaxed MgGa2SeCl crystal.

Output
ρ   2.7 g cm⁻³
Uncorrected energy   -2.63 eV/atom
Formation energy (no corrections)   -0.039 eV per atom

a = 5.882 Å, b = 5.882 Å, c = 4.909 Å
α = 90.00°, β = 90.00°, γ = 90.00°
Space group P4/mmm (No. 123)
One atom of each set of equivalent atoms:
Mg (0.000, 0.000, 0.000) x1
Ga (0.000, 0.500, 0.500) x2
Se (0.000, 0.000, 0.500) x1
Cl (0.500, 0.500, 0.000) x1


Entry 2:
## Ta3Nb6Re (PBE)

Data for a relaxed Ta3Nb6Re crystal.

Output
ρ   11.4 g cm⁻³
Uncorrected energy   -10.55 eV/atom
Calculated formation energy   0.290 eV/atom

a = 10.231 Å, b = 2.928 Å, c = 13.342 Å
α = 90.00°, β = 110.39°, γ = 90.00°
Space group P2_1/m (No. 11)
One atom of each set of equivalent atoms:
Ta (0.122, 0.250, 0.017) x2
Ta (0.129, 0.750, 0.661) x2
Ta (0.366, 0.750, 0.419) x2
Nb (0.066, 0.250, 0.221) x2
Nb (0.116, 0.750, 0.452) x2
Nb (0.238, 0.250, 0.857) x2
Nb (0.337, 0.250, 0.226) x2
Nb (0.379, 0.250, 0.616) x2
Nb (0.403, 0.750, 0.039) x2
Re (0.425, 0.750, 0.799) x2


Entry 3:
## TlIn2Hg (PBE)

Data for a relaxed TlIn2Hg crystal.

Output
ρ   9.5 g cm⁻³
Uncorrected energy   -2.03 eV/atom
Calculated formation energy   0.008 eV/atom

a = 3.806 Å, b = 3.806 Å, c = 7.661 Å
α = 90.00°, β = 90.00°, γ = 90.00°
Space group P4mm (No. 99)
One atom of each set of equivalent atoms:
Tl (0.000, 0.000, 0.000) x1
In (0.000, 0.000, 0.481) x1
In (0.500, 0.500, 0.730) x1
Hg (0.500, 0.500, 0.253) x1


Entry 4:
## LaPmSmAl (PBE)

Data for a relaxed LaPmSmAl crystal.

Output
ρ   6.5 g cm⁻³
Uncorrected energy   -4.67 eV/atom
Excess energy over the best structure of this formula in the dataset   0 meV per atom
Calculated formation energy   -0.132 eV/atom

a = 4.823 Å, b = 4.823 Å, c = 10.064 Å
α = 90.00°, β = 90.00°, γ = 90.00°
Space group I-4m2 (No. 119)
One atom of each set of equivalent atoms:
La (0.000, 0.000, 0.000) x2
Pm (0.000, 0.500, 0.750) x2
Sm (0.000, 0.500, 0.250) x2
Al (0.000, 0.000, 0.500) x2


Entry 5:
## LaPrSn2 (PBE)

Data for a relaxed LaPrSn2 crystal.

Output
ρ   6.8 g cm⁻³
Uncorrected energy   -5.23 eV/atom
Calculated formation energy   -0.798 eV/atom

a = 4.433 Å, b = 4.777 Å, c = 11.913 Å
α = 90.00°, β = 90.00°, γ = 90.00°
Space group Amm2 (No. 38)
One atom of each set of equivalent atoms:
La (0.000, 0.000, 0.000) x2
Pr (0.500, 0.000, 0.728) x2
Sn (0.000, 0.000, 0.275) x2
Sn (0.500, 0.000, 0.451) x2


Entry 6:
## NiSn2HW (PBE)

Data for a relaxed NiSn2HW crystal.

Output
ρ   9.8 g cm⁻³
Uncorrected energy   -5.48 eV/atom

a = 5.225 Å, b = 5.225 Å, c = 2.978 Å
α = 90.00°, β = 90.00°, γ = 90.00°
Space group P4/mmm (No. 123)
One atom of each set of equivalent atoms:
Ni (0.000, 0.000, 0.000) x1
Sn (0.000, 0.500, 0.000) x2
H (0.000, 0.000, 0.500) x1
W (0.500, 0.500, 0.500) x1


Entry 7:
## Li7GaAg12 (PBE)

Data for a relaxed Li7GaAg12 crystal.

Output
ρ   6.4 g cm⁻³
Uncorrected energy   -2.63 eV/atom
Calculated formation energy   -0.099 eV/atom

a = 10.0920 Å, b = 10.0920 Å, c = 12.3739 Å
α = 90.00°, β = 90.00°, γ = 120.00°
Space group R-3 (No. 148, hexagonal axes)
One atom of each set of equivalent atoms:
Li (0.0000, 0.0000, 0.0000) x3
Li (0.0278, 0.1925, 0.3077) x18
Ga (0.0000, 0.0000, 0.5000) x3
Ag (0.0299, 0.4505, 0.2009) x18
Ag (0.0746, 0.8197, 0.9201) x18


Entry 8:
## TbPr6Tm3 (PBE)

Data for a relaxed TbPr6Tm3 crystal.

Output
ρ   7.3 g cm⁻³
Uncorrected energy   -4.54 eV/atom
Calculated formation energy   0.128 eV/atom

a = 9.861 Å, b = 21.491 Å, c = 6.466 Å
α = 90.00°, β = 90.00°, γ = 90.00°
Space group Cmc2_1 (No. 36)
One atom of each set of equivalent atoms:
Tb (0.000, 0.156, 0.000) x4
Pr (0.000, 0.016, 0.790) x4
Pr (0.000, 0.300, 0.786) x4
Pr (0.174, 0.280, 0.306) x8
Pr (0.180, 0.440, 0.560) x8
Tm (0.000, 0.419, 0.079) x4
Tm (0.168, 0.125, 0.477) x8


Entry 9:
## SbPd3I (PBE)

Data for a relaxed SbPd3I crystal.

Output
ρ   7.6 g cm⁻³
Uncorrected energy   -4.54 eV/atom
Excess energy over the best structure of this formula in the dataset   0 meV per atom
Formation energy (no corrections)   -0.294 eV per atom

a = 4.873 Å, b = 5.730 Å, c = 8.938 Å
α = 90.00°, β = 93.15°, γ = 90.00°
Space group P2_1/m (No. 11)
One atom of each set of equivalent atoms:
Sb (0.171, 0.250, 0.385) x2
Pd (0.161, 0.750, 0.365) x2
Pd (0.340, 0.505, 0.633) x4
I (0.220, 0.250, 0.880) x2


Entry 10:
## NaNd2Br6 (PBE)

Data for a relaxed NaNd2Br6 crystal.

Output
ρ   4.1 g cm⁻³
Uncorrected energy   -4.01 eV/atom
Formation energy (no corrections)   -1.693 eV per atom

a = 7.128 Å, b = 7.128 Å, c = 12.622 Å
α = 90.00°, β = 90.00°, γ = 90.00°
Space group P4_2/mnm (No. 136)
One atom of each set of equivalent atoms:
Na (0.000, 0.000, 0.000) x2
Nd (0.000, 0.000, 0.346) x4
Br (0.207, 0.207, 0.173) x8
Br (0.215, 0.215, 0.500) x4


Entry 11:
## HfIr2RhI (PBE)

Data for a relaxed HfIr2RhI crystal.

Output
ρ   11.2 g cm⁻³
Uncorrected energy   -5.99 eV/atom
Formation energy (no corrections)   1.321 eV per atom

a = 4.927 Å, b = 4.927 Å, c = 4.831 Å
α = 90.00°, β = 90.00°, γ = 90.00°
Space group P4/mmm (No. 123)
One atom of each set of equivalent atoms:
Hf (0.000, 0.000, 0.000) x1
Ir (0.000, 0.500, 0.000) x2
Rh (0.000, 0.000, 0.500) x1
I (0.500, 0.500, 0.500) x1


Entry 12:
## ErHfZn2 (PBE)

Data for a relaxed ErHfZn2 crystal.

Output
ρ   9.9 g cm⁻³
Uncorrected energy   -4.46 eV/atom
Excess energy over the best structure of this formula in the dataset   47 meV per atom
Calculated formation energy   -0.196 eV/atom

a = 6.829 Å, b = 6.829 Å, c = 6.829 Å
α = 90.00°, β = 90.00°, γ = 90.00°
Space group Fm-3m (No. 225)
One atom of each set of equivalent atoms:
Er (0.000, 0.000, 0.000) x4
Hf (0.000, 0.000, 0.500) x4
Zn (0.250, 0.250, 0.250) x8